[1]
Entry from Alexandria via LeMat-Bulk: a relaxed ErLuCu crystal (GGA-PBE).

```
3
Lattice="-4.183 -1.734 -1.484 -0.296 -2.246 -4.192 -0.714 -4.709 -0.135" Properties=species:S:1:pos:R:3 pbc="T T T"
Cu -1.298 -2.172 -1.453
Er -2.597 -4.344 -2.905
Lu 0.000 0.000 0.000
```

Properties
Space-group type: F-43m, No. 216
Energy above the lowest structure with this stoichiometry (meV/atom): 167.9
Energy relative to the elements (eV/f.u.): 0.04


[2]
Entry from Alexandria via LeMat-Bulk: a relaxed HoNiSnPt crystal (GGA-PBE).

```
4
Lattice="4.711 0.000 0.000 2.355 4.080 0.000 2.355 1.360 3.846" Properties=species:S:1:pos:R:3 pbc="T T T"
Ho 4.711 2.720 1.923
Ni 2.355 1.360 0.962
Sn 0.000 0.000 0.000
Pt 7.066 4.080 2.885
```

Properties
Space-group type: F-43m, No. 216
Energy relative to the elements (eV/f.u.): -2.79


[3]
Entry from Alexandria via LeMat-Bulk: a relaxed ZnInTeRh2 crystal (GGA-PBE).

```
5
Lattice="-1.804 -0.833 -4.285 4.379 -0.186 -1.807 0.150 -4.646 0.840" Properties=species:S:1:pos:R:3 pbc="T T T"
Zn 0.000 0.000 0.000
Rh -0.902 -0.416 -2.143
Rh 0.075 -2.323 0.420
In 2.189 -0.093 -0.904
Te 1.362 -2.832 -2.626
```

Properties
E_form (uncorrected) (meV per atom): 610
Space-group type: P4/mmm, No. 123


[4]
Entry from Alexandria via LeMat-Bulk: a relaxed Ce2H4Cl3 crystal (GGA-PBE).

```
9
Lattice="-1.115 2.121 -2.972 -5.009 0.926 0.088 -2.283 7.269 3.593" Properties=species:S:1:pos:R:3 pbc="T T T"
Ce -5.216 6.855 1.946
Ce -3.191 3.460 -1.237
Cl 0.000 0.000 0.000
Cl -2.783 6.004 0.426
Cl -5.624 4.311 0.284
H -5.246 7.352 -0.140
H -2.472 1.438 -0.498
H -5.935 8.877 1.208
H -3.161 2.964 0.850
```

Properties
Space-group type: C2/m, No. 12
Electronic total energy (eV per cell): -40.55


[5]
Entry from Alexandria via LeMat-Bulk: a relaxed BeOs2Br crystal (GGA-PBE).

```
4
Lattice="-3.294 2.811 0.686 -3.985 -1.504 1.039 -1.576 0.584 4.049" Properties=species:S:1:pos:R:3 pbc="T T T"
Be -4.428 0.945 2.887
Br -6.641 1.417 4.331
Os -2.214 0.472 1.444
Os 0.000 0.000 0.000
```

Properties
E_form (uncorrected) (meV per atom): 1355
Space-group type: F-43m, No. 216
Energy above the lowest structure with this stoichiometry (meV/atom): 811.5


[6]
Entry from Alexandria via LeMat-Bulk: a relaxed Zn2CuTe crystal (GGA-PBE).

```
4
Lattice="-3.509 1.442 2.873 -3.740 -2.833 0.795 -0.577 -2.040 4.260" Properties=species:S:1:pos:R:3 pbc="T T T"
Zn -1.956 -0.858 1.982
Zn 0.000 0.000 0.000
Cu -3.913 -1.715 3.964
Te -5.869 -2.573 5.946
```

Properties
E_form (uncorrected) (meV per atom): 304
Space-group type: F-43m, No. 216
Energy above the lowest structure with this stoichiometry (meV/atom): 285.0


[7]
Entry from Alexandria via LeMat-Bulk: a relaxed La2YAl crystal (GGA-PBE).

```
4
Lattice="-2.273 -2.788 0.056 1.417 -1.217 -3.075 6.323 -5.057 4.915" Properties=species:S:1:pos:R:3 pbc="T T T"
Y 3.433 -2.746 2.669
Al 4.239 -5.735 2.118
La 6.054 -4.842 4.706
La 1.224 -3.324 -0.225
```

Properties
Space-group type: P4mm, No. 99
Energy relative to the elements (eV/f.u.): -0.71


[8]
Entry from Alexandria via LeMat-Bulk: a relaxed LaTlSi2 crystal (GGA-PBE).

```
8
Lattice="7.821 0.000 0.000 0.000 7.821 0.000 3.910 3.910 3.288" Properties=species:S:1:pos:R:3 pbc="T T T"
Si 9.776 10.043 2.466
Si 1.688 5.866 0.822
Si 5.866 5.598 2.466
Si 6.133 1.955 0.822
La 3.910 3.910 0.000
La 3.910 7.821 1.644
Tl 0.000 0.000 0.000
Tl 7.821 3.910 1.644
```

Properties
E_form (uncorrected) (meV per atom): 60
Space-group type: I-42d, No. 122
Energy above the lowest structure with this stoichiometry (meV/atom): 292.0